{"formula": "SiTe2Mo", "functional": "PBEsol", "state": "relaxed", "lattice_angstrom": [[-2.784, 2.784, 2.902], [2.784, -2.784, 2.902], [2.784, 2.784, -2.902]], "species": ["Si", "Te", "Te", "Mo"], "frac_coords": [[0.000, 0.000, 0.000], [0.000, 0.500, 0.500], [0.500, 0.000, 0.500], [0.500, 0.500, 0.000]], "e_tot_ev_per_fu": -21.96, "density_g_cm3": 7.0, "n_ef_per_ev_atom": 0.806, "magmom_total_mub_per_cell": 2.2, "raw_formation_energy_mev_per_atom": 653}